No. 1
Compound: Te2MoRh
Source: the Alexandria database
Functional: GGA-PBE
Structure: relaxed

abc: 8.467 3.332 5.657
angles: 90.00 101.80 90.00
Space group C2/m (No. 12)
Unique sites:
Te  0.239  0.000  0.242 (multiplicity 4)
Mo  0.000  0.500  0.000 (multiplicity 2)
Rh  0.000  0.000  0.500 (multiplicity 2)

Its energy above the most stable polymorph in this dataset is 0.3159 eV/atom. As for the formation energy (no corrections): 0.2096 eV per atom.

=====

No. 2
Compound: Te2MoRh
Source: the Alexandria database
Functional: GGA-PBE
Structure: relaxed

abc: 3.3858 3.3858 26.5179
angles: 90.00 90.00 120.00
Space group R-3m (No. 166, hexagonal axes)
Unique sites:
Te  0.0000  0.0000  0.0951 (multiplicity 6)
Mo  0.0000  0.0000  0.5000 (multiplicity 3)
Rh  0.0000  0.0000  0.0000 (multiplicity 3)

Its energy above the most stable polymorph in this dataset is 0.3550 eV/atom. As for the formation energy (no corrections): 0.2487 eV per atom.

=====

No. 3
Compound: TeMo2Rh
Source: the Alexandria database
Functional: GGA-PBE
Structure: relaxed

abc: 9.452 3.116 4.802
angles: 90.00 108.36 90.00
Space group Cm (No. 8)
Unique sites:
Te  0.000  0.000  0.000 (multiplicity 2)
Mo  0.247  0.000  0.806 (multiplicity 2)
Mo  0.482  0.000  0.471 (multiplicity 2)
Rh  0.244  0.500  0.335 (multiplicity 2)

As for the formation energy (no corrections): 0.2229 eV per atom.

=====

No. 4
Compound: Te2MoRh
Source: the Alexandria database
Functional: GGA-PBE
Structure: relaxed

abc: 6.620 8.713 2.934
angles: 90.00 90.00 90.00
Space group Cmmm (No. 65)
Unique sites:
Te  0.250  0.250  0.000 (multiplicity 4)
Mo  0.000  0.000  0.000 (multiplicity 2)
Rh  0.000  0.500  0.000 (multiplicity 2)

Its energy above the most stable polymorph in this dataset is 0.6261 eV/atom. As for the formation energy (no corrections): 0.5198 eV per atom.

=====

No. 5
Compound: Te2MoRh
Source: the Alexandria database
Functional: GGA-PBE
Structure: relaxed

abc: 3.994 3.994 9.812
angles: 90.00 90.00 90.00
Space group I-4m2 (No. 119)
Unique sites:
Te  0.000  0.000  0.000 (multiplicity 2)
Te  0.000  0.500  0.250 (multiplicity 2)
Mo  0.000  0.500  0.750 (multiplicity 2)
Rh  0.000  0.000  0.500 (multiplicity 2)

Its energy above the most stable polymorph in this dataset is 0.5314 eV/atom. As for the formation energy (no corrections): 0.4252 eV per atom.

=====

No. 6
Compound: TeMo2Rh
Source: the Alexandria database
Functional: GGA-PBE
Structure: relaxed

abc: 3.1296 3.1296 25.2580
angles: 90.00 90.00 120.00
Space group R3m (No. 160, hexagonal axes)
Unique sites:
Te  0.0000  0.0000  0.0000 (multiplicity 3)
Mo  0.0000  0.0000  0.4987 (multiplicity 3)
Mo  0.0000  0.0000  0.7589 (multiplicity 3)
Rh  0.0000  0.0000  0.2458 (multiplicity 3)

As for the formation energy (no corrections): 0.3049 eV per atom.

=====

No. 7
Compound: TeMo2Rh
Source: the Alexandria database
Functional: GGA-PBE
Structure: relaxed

abc: 3.293 4.572 8.849
angles: 90.00 90.00 90.00
Space group Imm2 (No. 44)
Unique sites:
Te  0.000  0.000  0.000 (multiplicity 2)
Mo  0.000  0.000  0.501 (multiplicity 2)
Mo  0.000  0.500  0.253 (multiplicity 2)
Rh  0.000  0.500  0.727 (multiplicity 2)

As for the formation energy (no corrections): 0.2265 eV per atom.

=====

No. 8
Compound: TeMo2Rh
Source: the Alexandria database
Functional: GGA-PBE
Structure: relaxed

abc: 3.028 4.168 5.546
angles: 90.00 100.32 90.00
Space group P2/m (No. 10)
Unique sites:
Te  0.000  0.000  0.000 (multiplicity 1)
Mo  0.449  0.500  0.276 (multiplicity 2)
Rh  0.000  0.000  0.500 (multiplicity 1)

As for the formation energy (no corrections): 0.3206 eV per atom.

=====

> Which of these has the highest formation energy (no corrections)?

number 4